Here is an optimized crystal structure of Li2InTc from the Alexandria database. Energies are from PBE. Values from VASP.

Calculated values
Magnetization in μB/cell: 0.00
Formation energy from the elements in eV/atom: 0.146

Geometry as Quantum ESPRESSO input:
```
&SYSTEM
  ibrav = 0, nat = 4, ntyp = 3
/
ATOMIC_SPECIES
Li 6.94 Li.upf
In 114.82 In.upf
Tc 98.00 Tc.upf
CELL_PARAMETERS angstrom
4.7853 0.0000 0.0000
0.0000 2.8036 -0.0020
0.0000 0.2556 4.9452
ATOMIC_POSITIONS crystal
Li 0.0000 0.5193 0.4669
Li 0.0000 0.9807 0.0331
In 0.5000 0.7500 0.7500
Tc 0.5000 0.2500 0.2500
```

=====

Here is an optimized crystal structure of Li2InTc from the Alexandria database. Energies are from PBE. Values from VASP.

Calculated values
Magnetization in μB/cell: 0.76
Formation energy from the elements in eV/atom: 0.223

Geometry as Quantum ESPRESSO input:
```
&SYSTEM
  ibrav = 0, nat = 4, ntyp = 3
/
ATOMIC_SPECIES
In 114.82 In.upf
Tc 98.00 Tc.upf
Li 6.94 Li.upf
CELL_PARAMETERS angstrom
2.9356 0.0000 0.0000
0.0000 2.9356 0.0000
0.0000 0.0000 7.6175
ATOMIC_POSITIONS crystal
In 0.5000 0.5000 0.7500
Tc 0.0000 0.0000 0.4832
Li 0.0000 0.0000 0.0133
Li 0.5000 0.5000 0.2534
```

=====

Here is an optimized crystal structure of Li2InTc from the Alexandria database. Energies are from PBE. Values from VASP.

Calculated values
Magnetization in μB/cell: 0.00
Formation energy from the elements in eV/atom: 0.203

Geometry as Quantum ESPRESSO input:
```
&SYSTEM
  ibrav = 0, nat = 4, ntyp = 3
/
ATOMIC_SPECIES
Li 6.94 Li.upf
In 114.82 In.upf
Tc 98.00 Tc.upf
CELL_PARAMETERS angstrom
2.7914 0.0099 0.0000
-0.6302 2.7193 0.0000
0.0000 0.0000 9.1701
ATOMIC_POSITIONS crystal
Li 0.0000 0.0000 0.9914
Li 0.5000 0.5000 0.2680
In 0.5000 0.5000 0.7439
Tc 0.0000 0.0000 0.4967
```

=====

Here is an optimized crystal structure of Li2InTc from the Alexandria database. Energies are from PBE. Values from VASP.

Calculated values
Magnetization in μB/cell: 0.57
Formation energy from the elements in eV/atom: 0.317

Geometry as Quantum ESPRESSO input:
```
&SYSTEM
  ibrav = 0, nat = 4, ntyp = 3
/
ATOMIC_SPECIES
Li 6.94 Li.upf
Tc 98.00 Tc.upf
In 114.82 In.upf
CELL_PARAMETERS angstrom
-9.2973 -3.0202 1.2126
-8.6204 -4.6539 -1.0307
-7.9912 -5.5285 1.6148
ATOMIC_POSITIONS crystal
Li 0.0064 0.0064 0.0064
Li 0.4936 0.4936 0.4936
Tc 0.7500 0.7500 0.7500
In 0.2500 0.2500 0.2500
```